No. 1
DFT (GGA-PBE) results for an optimized crystal structure of K2RbLiBr4.

Cell: 4.585 8.099 16.321 Å, 90.00 90.00 106.44°
Last column: magnetic moment on the atom in μB.
Positions (direct):
Li1 0.834 0.668 0.750  0.00
Li2 0.166 0.332 0.250  0.00
Br1 0.732 0.464 0.870  0.00
K1 0.635 0.269 0.449  0.00
Br2 0.268 0.536 0.370  0.00
Rb1 0.893 0.786 0.250  0.00
Rb2 0.107 0.214 0.750  0.00
Br3 0.000 0.000 0.500  0.08
Br4 0.000 0.000 0.000  0.08
Br5 0.732 0.464 0.630  0.00
K2 0.365 0.731 0.949  0.00
Br6 0.424 0.847 0.750  0.00
K3 0.365 0.731 0.551  0.00
Br7 0.268 0.536 0.130  0.00
Br8 0.576 0.153 0.250  0.00
K4 0.635 0.269 0.051  0.00

Values from the calculation:
- D(E_F) (states/eV/cell) = 0.0
- electronic total energy (eV/atom) = -3.1520
- mass density (kg/m3) = 2801



No. 2
DFT (GGA-PBE) results for an optimized crystal structure of K4Rb3LiBr8.

Cell: 9.453 9.434 9.534 Å, 119.57 119.72 90.00°
Positions (direct):
Br1 0.246 0.237 0.492
Br2 0.737 0.228 0.473
K1 0.000 0.000 0.500
Br3 0.787 0.727 0.007
K2 0.000 0.000 0.000
Br4 0.780 0.273 0.993
Rb1 0.500 0.500 0.000
K3 0.500 0.000 0.500
K4 0.500 0.000 0.000
Rb2 0.500 0.500 0.500
Br5 0.754 0.763 0.508
Br6 0.263 0.772 0.527
Li1 0.000 0.500 0.000
Br7 0.220 0.727 0.007
Rb3 0.000 0.500 0.500
Br8 0.213 0.273 0.993

Values from the calculation:
- D(E_F) (states/eV/cell) = 0.0
- electronic total energy (eV/atom) = -3.0911
- mass density (kg/m3) = 2894



No. 3
DFT (GGA-PBE) results for an optimized crystal structure of KLiReBr2.

Cell: 5.268 6.605 5.268 Å, 90.00 90.00 90.00°
Last column: magnetic moment on the atom in μB.
Positions (direct):
Re1 0.000 0.000 0.000  2.63
K1 0.000 0.500 0.000  0.02
Br1 0.000 0.000 0.500  0.09
Li1 0.500 0.500 0.500  0.08
Br2 0.500 0.000 0.000  0.11

Values from the calculation:
- D(E_F) (states/eV/cell) = 4.2
- electronic total energy (eV/atom) = -3.1513
- mass density (kg/m3) = 3552